No. 1
# SrPtSN2

A relaxed structure of SrPtSN2 (PBE, Alexandria via LeMat-Bulk).

Energy above the most stable polymorph in this dataset ... 1699 meV/atom
Final energy ... -18.45 eV per formula unit
Formation energy (no corrections) ... 2.011 eV/atom

POSCAR file:
```
SrPtSN2
1.0
4.651 0.000 0.000
0.000 4.651 0.000
0.000 0.000 5.876
Sr S Pt N
1 1 1 2
direct
0.000 0.000 0.000 Sr
0.000 0.000 0.500 S
0.500 0.500 0.500 Pt
0.000 0.500 0.000 N
0.500 0.000 0.000 N
```

=====

No. 2
# LaGa3Pd

A relaxed structure of LaGa3Pd (PBE, Alexandria via LeMat-Bulk).

Energy above the most stable polymorph in this dataset ... 1818 meV/atom
Formation enthalpy at 0 K ... 1.058 eV per atom
Final energy ... -13.91 eV per formula unit

POSCAR file:
```
LaGa3Pd
1.0
5.633 0.000 0.000
0.000 5.633 0.000
0.000 0.000 5.633
Ga Pd La
3 1 1
direct
0.000 0.500 0.000 Ga
0.000 0.000 0.500 Ga
0.500 0.000 0.000 Ga
0.500 0.500 0.500 Pd
0.000 0.000 0.000 La
```

=====

No. 3
# Ag2GeN

A relaxed structure of Ag2GeN (PBE, Alexandria via LeMat-Bulk).

Energy above the most stable polymorph in this dataset ... 66 meV/atom
Final energy ... -14.48 eV per formula unit
Formation energy (no corrections) ... 1.041 eV/atom

POSCAR file:
```
Ag2GeN
1.0
5.476 0.000 0.000
0.000 5.476 0.000
2.738 2.738 5.287
Ge Ag N
2 4 2
direct
0.000 0.000 0.000 Ge
0.750 0.250 0.500 Ge
0.537 0.125 0.250 Ag
0.213 0.625 0.250 Ag
0.375 0.463 0.750 Ag
0.875 0.787 0.750 Ag
0.500 0.500 0.000 N
0.250 0.750 0.500 N
```

=====

No. 4
# Pm3Pr12Zr5

A relaxed structure of Pm3Pr12Zr5 (PBE, Alexandria via LeMat-Bulk).

Formation enthalpy at 0 K ... 1.066 eV per atom
Final energy ... -93.03 eV per formula unit

POSCAR file:
```
Pm3Pr12Zr5
1.0
-6.014 -0.359 14.743
-3.278 -13.713 -7.407
15.785 1.986 0.752
Pm Zr Pr
12 20 48
direct
0.750 0.375 0.125 Pm
0.875 0.750 0.125 Pm
0.375 0.750 0.625 Pm
0.250 0.125 0.375 Pm
0.875 0.125 0.250 Pm
0.375 0.625 0.250 Pm
0.625 0.375 0.750 Pm
0.125 0.875 0.750 Pm
0.750 0.875 0.625 Pm
0.625 0.250 0.375 Pm
0.125 0.250 0.875 Pm
0.250 0.625 0.875 Pm
0.125 0.375 0.250 Zr
0.000 0.500 0.000 Zr
0.000 0.000 0.000 Zr
0.375 0.250 0.125 Zr
0.500 0.000 0.500 Zr
0.500 0.500 0.000 Zr
0.125 0.750 0.375 Zr
0.750 0.125 0.875 Zr
0.750 0.625 0.375 Zr
0.375 0.125 0.750 Zr
0.625 0.875 0.250 Zr
0.500 0.500 0.500 Zr
0.500 0.000 0.000 Zr
0.000 0.000 0.500 Zr
0.250 0.375 0.625 Zr
0.250 0.875 0.125 Zr
0.000 0.500 0.500 Zr
0.875 0.250 0.625 Zr
0.625 0.750 0.875 Zr
0.875 0.625 0.750 Zr
0.696 0.083 0.011 Pr
0.315 0.511 0.428 Pr
0.989 0.417 0.304 Pr
0.511 0.196 0.083 Pr
0.613 0.696 0.685 Pr
0.989 0.572 0.185 Pr
0.315 0.804 0.387 Pr
0.072 0.887 0.083 Pr
0.572 0.989 0.685 Pr
0.696 0.613 0.185 Pr
0.804 0.489 0.417 Pr
0.815 0.928 0.011 Pr
0.083 0.696 0.511 Pr
0.417 0.428 0.113 Pr
0.113 0.928 0.417 Pr
0.387 0.083 0.572 Pr
0.113 0.185 0.196 Pr
0.489 0.685 0.072 Pr
0.815 0.887 0.304 Pr
0.083 0.387 0.072 Pr
0.417 0.989 0.804 Pr
0.572 0.583 0.387 Pr
0.928 0.815 0.511 Pr
0.804 0.315 0.887 Pr
0.428 0.417 0.613 Pr
0.072 0.185 0.489 Pr
0.196 0.685 0.113 Pr
0.185 0.113 0.696 Pr
0.583 0.011 0.196 Pr
0.917 0.613 0.928 Pr
0.511 0.315 0.928 Pr
0.613 0.917 0.428 Pr
0.887 0.815 0.804 Pr
0.887 0.072 0.583 Pr
0.917 0.304 0.489 Pr
0.185 0.072 0.989 Pr
0.583 0.572 0.887 Pr
0.428 0.011 0.315 Pr
0.304 0.387 0.815 Pr
0.196 0.511 0.583 Pr
0.928 0.113 0.917 Pr
0.685 0.196 0.613 Pr
0.489 0.804 0.917 Pr
0.011 0.428 0.815 Pr
0.387 0.304 0.315 Pr
0.011 0.583 0.696 Pr
0.685 0.489 0.572 Pr
0.304 0.917 0.989 Pr
```